This record from the Alexandria database describes a geometry-optimized NdTiBi2 structure. The functional is PBE-GGA.

extended XYZ file:
```
4
Lattice="-0.335 0.848 -3.339 0.604 -2.364 -2.455 -10.561 -3.535 -1.633" Properties=species:S:1:pos:R:3 pbc="T T T"
Bi -2.922 -2.424 -5.704
Bi -7.370 -2.628 -1.723
Ti -5.146 -2.526 -3.713
Nd 0.000 0.000 0.000
```

Results
The formation energy comes out at 22 meV/atom. As for the symmetry: No. 166. The polymorph energy (0 for the lowest one) is 0.3143 eV/atom. The total magnetization is 0.000 μB per atom.

---

This record from the Alexandria database describes a geometry-optimized AlCuNi structure. The functional is PBE-GGA.

extended XYZ file:
```
12
Lattice="-3.723 1.181 -2.838 0.202 -7.354 -3.325 -2.460 -5.058 1.124" Properties=species:S:1:pos:R:3 pbc="T T T"
Al -4.445 -6.676 -5.161
Al -3.588 -3.825 -5.097
Al -1.537 -4.555 0.122
Al -2.394 -7.406 0.058
Cu -2.549 -3.523 -2.227
Cu -3.433 -7.708 -2.812
Cu -1.835 -0.540 -1.924
Cu -4.147 -10.691 -3.115
Ni -2.073 -5.907 -1.820
Ni -1.974 -9.583 -3.483
Ni -3.909 -5.324 -3.219
Ni -4.008 -1.648 -1.556
```

Results
The formation energy comes out at -206 meV/atom. As for the symmetry: No. 10. The polymorph energy (0 for the lowest one) is 0.1968 eV/atom. The total magnetization is 0.000 μB per atom.

---

This record from the Alexandria database describes a geometry-optimized Y2Co2Sn structure. The functional is PBE-GGA.

extended XYZ file:
```
10
Lattice="-4.885 -1.214 2.173 4.612 -0.923 2.936 -1.311 7.574 1.284" Properties=species:S:1:pos:R:3 pbc="T T T"
Co -0.751 3.162 2.171
Co 1.918 6.908 3.349
Co -3.503 -1.472 3.044
Co -0.833 2.274 4.222
Y -1.269 0.239 2.138
Y -3.380 3.664 3.428
Y -0.316 5.197 4.255
Y 1.795 1.772 2.965
Sn -4.512 0.854 2.182
Sn -1.685 5.506 1.275
```

Results
The formation energy comes out at -421 meV/atom. As for the symmetry: No. 15. The total magnetization is 0.135 μB per atom.

---

| no. | volume (Å³ per atom) |
| --- | --- |
| 1 | 28.7 |
| 2 | 13.1 |
| 3 | 20.0 |